(1)
# SrCO3

A relaxed structure of SrCO3 (PBEsol, the Alexandria database).

a b c (Å): 5.203 5.203 6.788
angles (deg): 67.47 67.47 60.00
Fractional coordinates of all 10 atoms:
Sr: 0.000 0.000 0.000
Sr: 0.500 0.500 0.500
O: 0.499 0.250 0.250
O: 0.001 0.499 0.250
O: 0.501 0.750 0.750
O: 0.750 0.999 0.750
O: 0.999 0.501 0.750
O: 0.250 0.001 0.250
C: 0.250 0.250 0.250
C: 0.750 0.750 0.750

Results
energy relative to the elements, uncorrected	-2.266	eV per atom
spin magnetization	0.000	μB/atom
calculated total energy	-77.12	eV per cell


(2)
# TbCO4

A relaxed structure of TbCO4 (PBEsol, the Alexandria database).

a b c (Å): 4.774 7.157 8.716
angles (deg): 90.00 90.00 90.00
Fractional coordinates of all 24 atoms:
Tb: 0.534 0.635 0.666
Tb: 0.034 0.865 0.334
Tb: 0.466 0.135 0.834
Tb: 0.966 0.365 0.166
O: 0.542 0.932 0.277
O: 0.175 0.384 0.921
O: 0.458 0.432 0.223
O: 0.969 0.674 0.140
O: 0.042 0.568 0.723
O: 0.825 0.884 0.579
O: 0.531 0.326 0.640
O: 0.958 0.068 0.777
O: 0.469 0.826 0.860
O: 0.724 0.430 0.870
O: 0.675 0.116 0.079
O: 0.776 0.570 0.370
O: 0.224 0.070 0.130
O: 0.031 0.174 0.360
O: 0.276 0.930 0.630
O: 0.325 0.616 0.421
C: 0.513 0.539 0.335
C: 0.487 0.039 0.165
C: 0.987 0.461 0.835
C: 0.013 0.961 0.665

Results
energy relative to the elements, uncorrected	-2.026	eV per atom
spin magnetization	0.167	μB/atom
calculated total energy	-191.23	eV per cell


(3)
# TbCO3

A relaxed structure of TbCO3 (PBEsol, the Alexandria database).

a b c (Å): 4.837 5.243 7.954
angles (deg): 90.17 90.00 90.00
Fractional coordinates of all 20 atoms:
O: 0.985 0.416 0.328
O: 0.512 0.889 0.174
O: 0.515 0.416 0.328
O: 0.250 0.580 0.919
O: 0.488 0.111 0.826
O: 0.012 0.111 0.826
O: 0.750 0.420 0.081
O: 0.250 0.126 0.576
O: 0.015 0.584 0.672
O: 0.485 0.584 0.672
O: 0.750 0.874 0.424
O: 0.988 0.889 0.174
Tb: 0.250 0.243 0.100
Tb: 0.750 0.757 0.900
Tb: 0.750 0.250 0.568
Tb: 0.250 0.750 0.432
C: 0.250 0.493 0.756
C: 0.250 0.193 0.747
C: 0.750 0.807 0.253
C: 0.750 0.507 0.244

Results
energy relative to the elements, uncorrected	-2.431	eV per atom
spin magnetization	0.000	μB/atom
calculated total energy	-170.23	eV per cell


(4)
# TbCO4

A relaxed structure of TbCO4 (PBEsol, the Alexandria database).

a b c (Å): 9.644 11.855 11.855
angles (deg): 120.00 90.00 90.00
Fractional coordinates of all 108 atoms:
O: 0.384 0.430 0.178
O: 0.000 0.174 0.032
O: 0.884 0.100 0.588
O: 0.384 0.748 0.570
O: 0.805 0.337 0.005
O: 0.618 0.755 0.833
O: 0.500 0.251 0.758
O: 0.616 0.822 0.252
O: 0.884 0.155 0.240
O: 0.117 0.417 0.256
O: 0.618 0.167 0.922
O: 0.500 0.508 0.749
O: 0.383 0.499 0.585
O: 0.116 0.084 0.845
O: 0.884 0.084 0.845
O: 0.195 0.995 0.332
O: 0.116 0.412 0.512
O: 0.000 0.185 0.486
O: 0.500 0.181 0.089
O: 0.000 0.571 0.423
O: 0.884 0.412 0.512
O: 0.000 0.514 0.699
O: 0.116 0.100 0.588
O: 0.195 0.337 0.005
O: 0.883 0.417 0.256
O: 0.000 0.301 0.815
O: 0.500 0.908 0.819
O: 0.116 0.155 0.240
O: 0.751 0.000 0.000
O: 0.616 0.430 0.178
O: 0.617 0.415 0.914
O: 0.696 0.003 0.670
O: 0.248 0.667 0.333
O: 0.000 0.858 0.826
O: 0.500 0.524 0.365
O: 0.746 0.333 0.667
O: 0.618 0.078 0.245
O: 0.500 0.841 0.476
O: 0.382 0.755 0.833
O: 0.617 0.499 0.585
O: 0.696 0.666 0.997
O: 0.383 0.415 0.914
O: 0.616 0.748 0.570
O: 0.249 0.000 0.000
O: 0.500 0.242 0.492
O: 0.383 0.086 0.501
O: 0.116 0.760 0.916
O: 0.696 0.330 0.334
O: 0.883 0.839 0.583
O: 0.000 0.851 0.429
O: 0.117 0.744 0.161
O: 0.382 0.167 0.922
O: 0.500 0.911 0.092
O: 0.304 0.330 0.334
O: 0.304 0.003 0.670
O: 0.805 0.668 0.663
O: 0.805 0.995 0.332
O: 0.304 0.666 0.997
O: 0.117 0.839 0.583
O: 0.382 0.078 0.245
O: 0.883 0.744 0.161
O: 0.884 0.488 0.900
O: 0.500 0.635 0.159
O: 0.116 0.488 0.900
O: 0.752 0.667 0.333
O: 0.617 0.086 0.501
O: 0.000 0.577 0.149
O: 0.884 0.760 0.916
O: 0.195 0.668 0.663
O: 0.384 0.822 0.252
O: 0.254 0.333 0.667
O: 0.000 0.968 0.142
Tb: 0.742 0.894 0.448
Tb: 0.742 0.552 0.446
Tb: 0.756 0.888 0.773
Tb: 0.247 0.217 0.438
Tb: 0.756 0.885 0.112
Tb: 0.244 0.888 0.773
Tb: 0.247 0.562 0.779
Tb: 0.247 0.221 0.783
Tb: 0.258 0.554 0.106
Tb: 0.753 0.217 0.438
Tb: 0.753 0.221 0.783
Tb: 0.244 0.227 0.115
Tb: 0.258 0.552 0.446
Tb: 0.742 0.554 0.106
Tb: 0.756 0.227 0.115
Tb: 0.244 0.885 0.112
Tb: 0.753 0.562 0.779
Tb: 0.258 0.894 0.448
C: 0.500 0.137 0.500
C: 0.500 0.170 0.975
C: 0.000 0.467 0.309
C: 0.000 0.691 0.158
C: 0.000 0.092 0.207
C: 0.500 0.779 0.539
C: 0.500 0.804 0.830
C: 0.000 0.842 0.533
C: 0.000 0.446 0.574
C: 0.500 0.461 0.240
C: 0.000 0.128 0.554
C: 0.500 0.363 0.863
C: 0.000 0.114 0.908
C: 0.000 0.426 0.872
C: 0.500 0.025 0.196
C: 0.500 0.760 0.221
C: 0.000 0.793 0.886
C: 0.500 0.500 0.637

Results
energy relative to the elements, uncorrected	-2.091	eV per atom
spin magnetization	0.169	μB/atom
calculated total energy	-867.57	eV per cell


(5)
# TlCO2

A relaxed structure of TlCO2 (PBEsol, the Alexandria database).

a b c (Å): 5.743 6.531 6.704
angles (deg): 97.78 90.00 90.00
Fractional coordinates of all 16 atoms:
C: 0.598 0.570 0.551
C: 0.902 0.570 0.051
C: 0.098 0.430 0.949
C: 0.402 0.430 0.449
O: 0.762 0.484 0.635
O: 0.917 0.763 0.044
O: 0.738 0.484 0.135
O: 0.583 0.763 0.544
O: 0.417 0.237 0.456
O: 0.083 0.237 0.956
O: 0.238 0.516 0.365
O: 0.262 0.516 0.865
Tl: 0.939 0.181 0.319
Tl: 0.061 0.819 0.681
Tl: 0.439 0.819 0.181
Tl: 0.561 0.181 0.819

Results
energy relative to the elements, uncorrected	-1.022	eV per atom
spin magnetization	0.000	μB/atom
calculated total energy	-107.45	eV per cell


(6)
# TlCO2

A relaxed structure of TlCO2 (PBEsol, the Alexandria database).

a b c (Å): 5.175 5.175 5.175
angles (deg): 60.00 60.00 60.00
Fractional coordinates of all 8 atoms:
O: 0.125 0.625 0.625
O: 0.625 0.625 0.125
O: 0.625 0.625 0.625
O: 0.625 0.125 0.625
C: 0.500 0.500 0.500
C: 0.750 0.750 0.750
Tl: 0.250 0.250 0.250
Tl: 0.000 0.000 0.000

Results
energy relative to the elements, uncorrected	0.229	eV per atom
spin magnetization	0.000	μB/atom
calculated total energy	-43.71	eV per cell


(7)
# Y3CO

A relaxed structure of Y3CO (PBEsol, the Alexandria database).

a b c (Å): 4.731 4.731 4.731
angles (deg): 90.00 90.00 90.00
Fractional coordinates of all 5 atoms:
C: 0.000 0.000 0.000
O: 0.500 0.500 0.500
Y: 0.500 0.000 0.000
Y: 0.000 0.500 0.000
Y: 0.000 0.000 0.500

Results
energy relative to the elements, uncorrected	-0.165	eV per atom
spin magnetization	0.000	μB/atom
calculated total energy	-36.18	eV per cell


The lowest calculated total energy belongs to which entry?
number 4


What is the formula in the seventh record?
Y3CO


What did the sixth record say?
# TlCO2

A relaxed structure of TlCO2 (PBEsol, the Alexandria database).

a b c (Å): 5.175 5.175 5.175
angles (deg): 60.00 60.00 60.00
Fractional coordinates of all 8 atoms:
O: 0.125 0.625 0.625
O: 0.625 0.625 0.125
O: 0.625 0.625 0.625
O: 0.625 0.125 0.625
C: 0.500 0.500 0.500
C: 0.750 0.750 0.750
Tl: 0.250 0.250 0.250
Tl: 0.000 0.000 0.000

Results
energy relative to the elements, uncorrected	0.229	eV per atom
spin magnetization	0.000	μB/atom
calculated total energy	-43.71	eV per cell